Here is a geometry-optimized Ag3PdBr4 structure from Alexandria via LeMat-Bulk. Energies are from PBE.

a = 6.6781 Å, b = 6.6781 Å, c = 7.1089 Å
α = 118.01°, β = 118.01°, γ = 90.00°
Sites, in units of the cell vectors:
Br1 0.6380 0.1274 0.7654
Br2 0.3620 0.3620 0.2346
Br3 0.8726 0.8726 0.2346
Br4 0.1274 0.6380 0.7654
Ag1 0.5000 0.5000 0.0000
Ag2 0.7500 0.2500 0.5000
Ag3 0.2500 0.7500 0.5000
Pd1 0.0000 0.0000 0.0000

Output
N(E_F): 3.33 states/eV/f.u.
Volume: 237.0 Å³/cell
Symmetry: I-42m
E_form (uncorrected): -0.167 eV per atom

---

Here is a geometry-optimized Ag2PdBr8 structure from Alexandria via LeMat-Bulk. Energies are from PBE.

a = 7.0315 Å, b = 8.3019 Å, c = 8.3019 Å
α = 84.56°, β = 69.03°, γ = 69.03°
Sites, in units of the cell vectors:
Br1 0.8273 0.7735 0.0913
Br2 0.6755 0.2181 0.2181
Br3 0.1727 0.9087 0.2265
Br4 0.1667 0.3998 0.3998
Br5 0.3245 0.7819 0.7819
Br6 0.8333 0.6002 0.6002
Br7 0.1727 0.2265 0.9087
Br8 0.8273 0.0913 0.7735
Ag1 0.6131 0.8585 0.8585
Ag2 0.3869 0.1415 0.1415
Pd1 0.0000 0.0000 0.0000

Output
N(E_F): 0.20 states/eV/f.u.
Volume: 422.3 Å³/cell
Distance to the lowest polymorph of the same formula: 0 meV per atom
Symmetry: C2/m
E_form (uncorrected): -0.182 eV per atom

---

Here is a geometry-optimized Ag5PdBr12 structure from Alexandria via LeMat-Bulk. Energies are from PBE.

a = 6.8200 Å, b = 7.0783 Å, c = 14.5555 Å
α = 78.48°, β = 65.51°, γ = 61.20°
Sites, in units of the cell vectors:
Br1 0.7579 0.6657 0.6174
Br2 0.5764 0.6657 0.3826
Br3 0.1055 0.2877 0.8898
Br4 0.9090 0.0000 0.3846
Br5 0.0910 0.0000 0.6154
Br6 0.8945 0.7123 0.1102
Br7 0.4236 0.3343 0.6174
Br8 0.8030 0.0000 0.8876
Br9 0.6068 0.2877 0.1102
Br10 0.1970 0.0000 0.1124
Br11 0.2421 0.3343 0.3826
Br12 0.3932 0.7123 0.8898
Ag1 0.1670 0.6660 0.5000
Ag2 0.6697 0.6606 0.0000
Ag3 0.8330 0.3340 0.5000
Ag4 0.3303 0.3394 0.0000
Ag5 0.5000 0.0000 0.5000
Pd1 0.0000 0.0000 0.0000

Output
N(E_F): 19.48 states/eV/f.u.
Volume: 560.3 Å³/cell
Symmetry: C2/m
E_form (uncorrected): -0.212 eV per atom

---

Here is a geometry-optimized AgPd3Br structure from Alexandria via LeMat-Bulk. Energies are from PBE.

a = 4.7322 Å, b = 4.7322 Å, c = 4.7322 Å
α = 90.00°, β = 90.00°, γ = 90.00°
Sites, in units of the cell vectors:
Ag1 0.5000 0.5000 0.5000
Pd1 0.5000 0.0000 0.0000
Pd2 0.0000 0.5000 0.0000
Pd3 0.0000 0.0000 0.5000
Br1 0.0000 0.0000 0.0000

Output
N(E_F): 0.58 states/eV/f.u.
Volume: 106.0 Å³/cell
Distance to the lowest polymorph of the same formula: 0 meV per atom
Symmetry: Pm-3m
E_form (uncorrected): 0.506 eV per atom

---

Here is a geometry-optimized Ag2PdBr8 structure from Alexandria via LeMat-Bulk. Energies are from PBE.

a = 8.9005 Å, b = 8.4281 Å, c = 8.1863 Å
α = 115.50°, β = 90.00°, γ = 121.87°
Sites, in units of the cell vectors:
Br1 0.0608 0.1216 0.7544
Br2 0.3431 0.3037 0.2091
Br3 0.0394 0.6963 0.7909
Br4 0.9606 0.3037 0.2091
Br5 0.6555 0.3110 0.2162
Br6 0.3445 0.6890 0.7838
Br7 0.9392 0.8784 0.2456
Br8 0.6569 0.6963 0.7909
Ag1 0.8539 0.7077 0.4972
Ag2 0.1461 0.2923 0.5028
Pd1 0.0000 0.0000 0.0000

Output
N(E_F): 5.40 states/eV/f.u.
Volume: 449.5 Å³/cell
Distance to the lowest polymorph of the same formula: 40 meV per atom
Symmetry: C2/m
E_form (uncorrected): -0.142 eV per atom

---

Here is a geometry-optimized Ag2PdBr6 structure from Alexandria via LeMat-Bulk. Energies are from PBE.

a = 6.9743 Å, b = 6.4985 Å, c = 11.5568 Å
α = 90.00°, β = 89.94°, γ = 90.00°
Sites, in units of the cell vectors:
Br1 0.2035 0.2840 0.0006
Br2 0.1533 0.2236 0.6556
Br3 0.8477 0.7749 0.6556
Br4 0.6533 0.2764 0.1556
Br5 0.2965 0.7840 0.4994
Br6 0.3467 0.7236 0.8444
Br7 0.7035 0.2160 0.5006
Br8 0.8467 0.7764 0.3444
Br9 0.6523 0.2749 0.8444
Br10 0.1523 0.2251 0.3444
Br11 0.3477 0.7251 0.1556
Br12 0.7965 0.7160 0.9994
Pd1 0.0000 0.0000 0.5000
Pd2 0.5000 0.5000 0.0000
Ag1 0.5002 0.9985 0.6834
Ag2 0.0002 0.5015 0.1834
Ag3 0.4998 0.0015 0.3166
Ag4 0.9998 0.4985 0.8166

Output
N(E_F): 0.06 states/eV/f.u.
Volume: 523.8 Å³/cell
Symmetry: P2_1/c
E_form (uncorrected): -0.273 eV per atom